Entry from the Alexandria database: an optimized crystal structure of Zr2SiTe (GGA-PBEsol).

Lattice parameters (Å, degrees): 4.0935 4.0935 9.4473 90.00 90.00 90.00
Atoms (fractional coordinates):
Zr 0.0000 0.0000 0.0000
Zr 0.0000 0.5000 0.2500
Zr 0.5000 0.0000 0.7500
Zr 0.5000 0.5000 0.5000
Si 0.0000 0.0000 0.5000
Si 0.5000 0.5000 0.0000
Te 0.0000 0.5000 0.7500
Te 0.5000 0.0000 0.2500

Properties
Energy relative to the elements, uncorrected in eV/atom: -0.412
Total magnetic moment in μB per formula unit: 0.00
Fermi-level density of states in states/eV/f.u.: 4.3
Total DFT energy (no corrections) in eV per atom: -7.28
Crystal system: tetragonal
Symmetry: I-4m2, No. 119


Entry from the Alexandria database: an optimized crystal structure of ZrSiTe2 (GGA-PBEsol).

Lattice parameters (Å, degrees): 6.5370 7.5279 3.5526 90.00 90.00 90.00
Atoms (fractional coordinates):
Zr 0.0000 0.0000 0.0000
Zr 0.5000 0.5000 0.0000
Si 0.0000 0.5000 0.0000
Si 0.5000 0.0000 0.0000
Te 0.2500 0.2500 0.5000
Te 0.2500 0.7500 0.5000
Te 0.7500 0.2500 0.5000
Te 0.7500 0.7500 0.5000

Properties
Energy relative to the elements, uncorrected in eV/atom: -0.087
Total magnetic moment in μB per formula unit: 0.00
Fermi-level density of states in states/eV/f.u.: 2.3
Total DFT energy (no corrections) in eV per atom: -5.56
Crystal system: orthorhombic
Symmetry: Cmmm, No. 65


Entry from the Alexandria database: an optimized crystal structure of ZrSiTe (GGA-PBEsol).

Lattice parameters (Å, degrees): 3.5918 3.5918 9.0820 90.00 90.00 90.00
Atoms (fractional coordinates):
Zr 0.0000 0.0000 0.0000
Zr 0.5000 0.5000 0.5000
Si 0.0000 0.0000 0.6434
Si 0.5000 0.5000 0.1434
Te 0.0000 0.0000 0.3259
Te 0.5000 0.5000 0.8259

Properties
Energy relative to the elements, uncorrected in eV/atom: -0.567
Total magnetic moment in μB per formula unit: 0.00
Fermi-level density of states in states/eV/f.u.: 1.4
Total DFT energy (no corrections) in eV per atom: -6.69
Crystal system: tetragonal
Symmetry: I4mm, No. 107


Entry from the Alexandria database: an optimized crystal structure of ZrSi2Te (GGA-PBEsol).

Lattice parameters (Å, degrees): 9.4791 3.6506 4.9520 90.00 90.14 90.00
Atoms (fractional coordinates):
Zr 0.0000 0.0000 0.0000
Zr 0.5000 0.5000 0.0000
Si 0.2178 0.5000 0.8641
Si 0.2822 0.0000 0.1359
Si 0.7178 0.0000 0.8641
Si 0.7822 0.5000 0.1359
Te 0.0000 0.5000 0.5000
Te 0.5000 0.0000 0.5000

Properties
Energy relative to the elements, uncorrected in eV/atom: -0.178
Total magnetic moment in μB per formula unit: 0.00
Fermi-level density of states in states/eV/f.u.: 1.7
Total DFT energy (no corrections) in eV per atom: -6.20
Crystal system: monoclinic
Symmetry: C2/m, No. 12


Entry from the Alexandria database: an optimized crystal structure of ZrSi2Te (GGA-PBEsol).

Lattice parameters (Å, degrees): 3.4252 4.7094 4.7226 90.00 90.00 90.00
Atoms (fractional coordinates):
Zr 0.0000 0.0000 0.0000
Si 0.5000 0.0000 0.5000
Si 0.5000 0.5000 0.0000
Te 0.0000 0.5000 0.5000

Properties
Energy relative to the elements, uncorrected in eV/atom: -0.007
Total magnetic moment in μB per formula unit: 0.00
Fermi-level density of states in states/eV/f.u.: 2.4
Total DFT energy (no corrections) in eV per atom: -6.03
Crystal system: orthorhombic
Symmetry: Pmmm, No. 47


Entry from the Alexandria database: an optimized crystal structure of Zr2SiTe (GGA-PBEsol).

Lattice parameters (Å, degrees): 4.6401 3.4936 10.0522 90.00 90.00 90.00
Atoms (fractional coordinates):
Zr 0.0000 0.0000 0.0000
Zr 0.0000 0.5000 0.5000
Zr 0.5000 0.0000 0.2630
Zr 0.5000 0.5000 0.7630
Si 0.0000 0.0000 0.7258
Si 0.0000 0.5000 0.2258
Te 0.5000 0.0000 0.5405
Te 0.5000 0.5000 0.0405

Properties
Energy relative to the elements, uncorrected in eV/atom: -0.619
Total magnetic moment in μB per formula unit: 0.00
Fermi-level density of states in states/eV/f.u.: 2.9
Total DFT energy (no corrections) in eV per atom: -7.48
Crystal system: orthorhombic
Symmetry: Amm2, No. 38


Entry from the Alexandria database: an optimized crystal structure of Zr2Si2Te (GGA-PBEsol).

Lattice parameters (Å, degrees): 3.5889 3.5889 14.9161 90.00 90.00 90.00
Atoms (fractional coordinates):
Zr 0.0000 0.0000 0.1098
Zr 0.0000 0.0000 0.8902
Zr 0.5000 0.5000 0.3902
Zr 0.5000 0.5000 0.6098
Si 0.0000 0.5000 0.2500
Si 0.0000 0.5000 0.7500
Si 0.5000 0.0000 0.2500
Si 0.5000 0.0000 0.7500
Te 0.0000 0.0000 0.5000
Te 0.5000 0.5000 0.0000

Properties
Energy relative to the elements, uncorrected in eV/atom: -0.748
Total magnetic moment in μB per formula unit: 0.00
Fermi-level density of states in states/eV/f.u.: 3.1
Total DFT energy (no corrections) in eV per atom: -7.39
Crystal system: tetragonal
Symmetry: I4/mmm, No. 139


Entry from the Alexandria database: an optimized crystal structure of ZrSiTe (GGA-PBEsol).

Lattice parameters (Å, degrees): 3.7072 3.7072 8.9934 90.00 90.00 90.00
Atoms (fractional coordinates):
Zr 0.2500 0.2500 0.2340
Zr 0.7500 0.7500 0.7660
Si 0.2500 0.7500 0.0000
Si 0.7500 0.2500 0.0000
Te 0.2500 0.2500 0.6303
Te 0.7500 0.7500 0.3697

Properties
Energy relative to the elements, uncorrected in eV/atom: -0.878
Total magnetic moment in μB per formula unit: 0.00
Fermi-level density of states in states/eV/f.u.: 0.3
Total DFT energy (no corrections) in eV per atom: -7.00
Crystal system: tetragonal
Symmetry: P4/nmm, No. 129


Entry from the Alexandria database: an optimized crystal structure of Th3Si2 (GGA-PBEsol).

Lattice parameters (Å, degrees): 7.7624 7.7624 4.1115 90.00 90.00 90.00
Atoms (fractional coordinates):
Th 0.0000 0.0000 0.0000
Th 0.1811 0.3189 0.5000
Th 0.3189 0.8189 0.5000
Th 0.5000 0.5000 0.0000
Th 0.6811 0.1811 0.5000
Th 0.8189 0.6811 0.5000
Si 0.1126 0.6126 0.0000
Si 0.3874 0.1126 0.0000
Si 0.6126 0.8874 0.0000
Si 0.8874 0.3874 0.0000

Properties
Energy relative to the elements, uncorrected in eV/atom: -0.694
Total magnetic moment in μB per formula unit: 0.00
Fermi-level density of states in states/eV/f.u.: 4.4
Total DFT energy (no corrections) in eV per atom: -7.86
Crystal system: tetragonal
Symmetry: P4/mbm, No. 127


Entry from the Alexandria database: an optimized crystal structure of ThSi (GGA-PBEsol).

Lattice parameters (Å, degrees): 7.8887 4.0930 5.8394 90.00 90.00 90.00
Atoms (fractional coordinates):
Th 0.1800 0.2500 0.1230
Th 0.3200 0.7500 0.6230
Th 0.6800 0.2500 0.3770
Th 0.8200 0.7500 0.8770
Si 0.0374 0.2500 0.6256
Si 0.4626 0.7500 0.1256
Si 0.5374 0.2500 0.8744
Si 0.9626 0.7500 0.3744

Properties
Energy relative to the elements, uncorrected in eV/atom: -0.735
Total magnetic moment in μB per formula unit: 0.00
Fermi-level density of states in states/eV/f.u.: 1.4
Total DFT energy (no corrections) in eV per atom: -7.66
Crystal system: orthorhombic
Symmetry: Pnma, No. 62


Entry from the Alexandria database: an optimized crystal structure of Ti5Si4 (GGA-PBEsol).

Lattice parameters (Å, degrees): 6.6390 6.6390 12.0688 90.00 90.00 90.00
Atoms (fractional coordinates):
Ti 0.0029 0.3443 0.2183
Ti 0.0044 0.8503 0.1219
Ti 0.1497 0.9956 0.3781
Ti 0.1557 0.5029 0.4683
Ti 0.1701 0.1701 0.0000
Ti 0.3299 0.6701 0.2500
Ti 0.3443 0.0029 0.7817
Ti 0.3503 0.4956 0.8719
Ti 0.4956 0.3503 0.1281
Ti 0.4971 0.8443 0.0317
Ti 0.5029 0.1557 0.5317
Ti 0.5044 0.6497 0.6281
Ti 0.6497 0.5044 0.3719
Ti 0.6557 0.9971 0.2817
Ti 0.6701 0.3299 0.7500
Ti 0.8299 0.8299 0.5000
Ti 0.8443 0.4971 0.9683
Ti 0.8503 0.0044 0.8781
Ti 0.9956 0.1497 0.6219
Ti 0.9971 0.6557 0.7183
Si 0.0432 0.3019 0.8136
Si 0.1419 0.7942 0.9222
Si 0.1981 0.5432 0.0636
Si 0.2058 0.8581 0.5778
Si 0.2942 0.3581 0.6722
Si 0.3019 0.0432 0.1864
Si 0.3581 0.2942 0.3278
Si 0.4568 0.8019 0.4364
Si 0.5432 0.1981 0.9364
Si 0.6419 0.7058 0.8278
Si 0.6981 0.9568 0.6864
Si 0.7058 0.6419 0.1722
Si 0.7942 0.1419 0.0778
Si 0.8019 0.4568 0.5636
Si 0.8581 0.2058 0.4222
Si 0.9568 0.6981 0.3136

Properties
Energy relative to the elements, uncorrected in eV/atom: -0.854
Total magnetic moment in μB per formula unit: 0.00
Fermi-level density of states in states/eV/f.u.: 6.1
Total DFT energy (no corrections) in eV per atom: -8.03
Crystal system: tetragonal
Symmetry: P4_12_12, No. 92


Entry from the Alexandria database: an optimized crystal structure of Ti5Si3 (GGA-PBEsol).

Lattice parameters (Å, degrees): 7.3976 7.3976 5.0634 90.00 90.00 120.00
Atoms (fractional coordinates):
Ti 0.0000 0.2496 0.2500
Ti 0.0000 0.7504 0.7500
Ti 0.2496 0.0000 0.2500
Ti 0.2496 0.2496 0.7500
Ti 0.3333 0.6667 0.0000
Ti 0.3333 0.6667 0.5000
Ti 0.6667 0.3333 0.0000
Ti 0.6667 0.3333 0.5000
Ti 0.7504 0.0000 0.7500
Ti 0.7504 0.7504 0.2500
Si 0.0000 0.3926 0.7500
Si 0.0000 0.6074 0.2500
Si 0.3926 0.0000 0.7500
Si 0.3926 0.3926 0.2500
Si 0.6074 0.0000 0.2500
Si 0.6074 0.6074 0.7500

Properties
Energy relative to the elements, uncorrected in eV/atom: -0.824
Total magnetic moment in μB per formula unit: 0.00
Fermi-level density of states in states/eV/f.u.: 4.2
Total DFT energy (no corrections) in eV per atom: -8.18
Crystal system: hexagonal
Symmetry: P6_3/mcm, No. 193